Entry 1:
Zr2HSe2 | PBE | relaxed

As for the density of states at the Fermi level: 2.39 states/eV/f.u. As for the energy: -6.4644 eV per atom. As for the magnetization: 0.000 μB per cell.

It has space group I4_1/amd (No. 141, origin choice 2), with a = 3.4405 Å, b = 3.4405 Å, c = 34.7564 Å, α = 90.00°, β = 90.00° and γ = 90.00°. Symmetry generates all atoms from Zr at (0.0000, 0.2500, 0.0876), H at (0.0000, 0.2500, 0.8750) and Se at (0.0000, 0.2500, 0.1982).

Entry 2:
ThSn2Pt9 | PBE | relaxed

As for the density of states at the Fermi level: 2.98 states/eV/f.u. As for the energy: -6.4339 eV per atom. As for the magnetization: 0.000 μB per cell.

It has space group P4/mmm (No. 123), with a = 4.1372 Å, b = 4.1372 Å, c = 12.2721 Å, α = 90.00°, β = 90.00° and γ = 90.00°. Symmetry generates all atoms from Th at (0.0000, 0.0000, 0.0000), Sn at (0.0000, 0.0000, 0.3385), Pt at (0.0000, 0.5000, 0.1748), Pt at (0.0000, 0.5000, 0.5000), Pt at (0.5000, 0.5000, 0.0000) and Pt at (0.5000, 0.5000, 0.3392).

Entry 3:
Sm6Dy2Tm3Tl | PBE | relaxed

As for the density of states at the Fermi level: 13.04 states/eV/f.u. As for the energy: -4.4544 eV per atom. As for the magnetization: 0.000 μB per cell.

It has space group C2/m (No. 12), with a = 6.1382 Å, b = 10.6502 Å, c = 11.7086 Å, α = 90.00°, β = 100.14° and γ = 90.00°. Symmetry generates all atoms from Sm at (0.2451, 0.0000, 0.2486), Sm at (0.2478, 0.1644, 0.7501), Dy at (0.0000, 0.3340, 0.5000), Tm at (0.0000, 0.1673, 0.0000), Tm at (0.0000, 0.5000, 0.0000) and Tl at (0.0000, 0.0000, 0.5000).

Entry 4:
Tc2IrC | PBE | relaxed

As for the density of states at the Fermi level: 3.18 states/eV/f.u. As for the energy: -9.0075 eV per atom. As for the magnetization: 0.000 μB per cell.

It has space group I-42d (No. 122), with a = 5.0489 Å, b = 5.0489 Å, c = 10.0997 Å, α = 90.00°, β = 90.00° and γ = 90.00°. Symmetry generates all atoms from Tc at (0.1767, 0.2500, 0.1250), Ir at (0.0000, 0.0000, 0.5000) and C at (0.0000, 0.0000, 0.0000).

Entry 5:
UFe2GeN | PBE | relaxed

As for the density of states at the Fermi level: 6.70 states/eV/f.u. As for the energy: -8.7509 eV per atom. As for the magnetization: 16.850 μB per cell.

It has space group Cmcm (No. 63), with a = 3.2750 Å, b = 11.4167 Å, c = 7.1905 Å, α = 90.00°, β = 90.00° and γ = 90.00°. Symmetry generates all atoms from U at (0.0000, 0.0261, 0.2500), Fe at (0.0000, 0.3350, 0.0507), Ge at (0.0000, 0.2458, 0.7500) and N at (0.0000, 0.5000, 0.0000).

Entry 6:
La2Zn6PdPt | PBE | relaxed

As for the density of states at the Fermi level: 8.38 states/eV/f.u. As for the energy: -3.2237 eV per atom. As for the magnetization: 0.002 μB per cell.

It has space group Immm (No. 71), with a = 6.7947 Å, b = 6.8127 Å, c = 9.6201 Å, α = 90.00°, β = 90.00° and γ = 90.00°. Symmetry generates all atoms from La at (0.0000, 0.0000, 0.2500), Zn at (0.0000, 0.5000, 0.2489), Zn at (0.2489, 0.2511, 0.0000), Pd at (0.0000, 0.5000, 0.0000) and Pt at (0.0000, 0.5000, 0.5000).

Entry 7:
ThAgPdRh | PBE | relaxed

The energy above the most stable polymorph in this dataset comes out at 0.0 meV per atom. As for the density of states at the Fermi level: 1.03 states/eV/f.u. As for the energy: -6.3557 eV per atom. As for the magnetization: 0.000 μB per cell.

It has space group Pmmm (No. 47), with a = 3.9359 Å, b = 4.2276 Å, c = 4.6034 Å, α = 90.00°, β = 90.00° and γ = 90.00°. Symmetry generates all atoms from Th at (0.0000, 0.0000, 0.0000), Ag at (0.0000, 0.5000, 0.5000), Pd at (0.5000, 0.0000, 0.5000) and Rh at (0.5000, 0.5000, 0.0000).

Entry 8:
CsKCd4 | PBE | relaxed

The energy above the most stable polymorph in this dataset comes out at 0.0 meV per atom. As for the density of states at the Fermi level: 2.42 states/eV/f.u. As for the energy: -0.9959 eV per atom. As for the magnetization: 0.000 μB per cell.

It has space group Imm2 (No. 44), with a = 5.3756 Å, b = 8.9795 Å, c = 8.8466 Å, α = 90.00°, β = 90.00° and γ = 90.00°. Symmetry generates all atoms from Cs at (0.0000, 0.0000, 0.0000), K at (0.0000, 0.5000, 0.8692), Cd at (0.0000, 0.1740, 0.5889) and Cd at (0.0000, 0.3235, 0.2637).

Entry 9:
Ca3NbAs | PBE | relaxed

The energy above the most stable polymorph in this dataset comes out at 677.9 meV per atom. As for the density of states at the Fermi level: 7.05 states/eV/f.u. As for the energy: -3.2501 eV per atom. As for the magnetization: 0.001 μB per cell.

It has space group Pm-3m (No. 221), with a = 5.4219 Å, b = 5.4219 Å, c = 5.4219 Å, α = 90.00°, β = 90.00° and γ = 90.00°. Symmetry generates all atoms from Ca at (0.0000, 0.0000, 0.5000), Nb at (0.0000, 0.0000, 0.0000) and As at (0.5000, 0.5000, 0.5000).

Entry 10:
InCo3Mo | PBE | relaxed

The energy above the most stable polymorph in this dataset comes out at 701.9 meV per atom. As for the density of states at the Fermi level: 6.63 states/eV/f.u. As for the energy: -5.0487 eV per atom. As for the magnetization: 5.546 μB per cell.

It has space group Pm-3m (No. 221), with a = 4.5238 Å, b = 4.5238 Å, c = 4.5238 Å, α = 90.00°, β = 90.00° and γ = 90.00°. Symmetry generates all atoms from In at (0.0000, 0.0000, 0.0000), Co at (0.0000, 0.0000, 0.5000) and Mo at (0.5000, 0.5000, 0.5000).